A geometry-optimized Na2SrZrF8 structure. Source: Alexandria, functional PBE.

Summary:
size of the total moment = 0.00 Bohr magnetons per cell
formation energy without anion corrections = -3.437 eV/atom

Geometry as CIF:
```
data_Na2SrZrF8
_cell_length_a 3.859
_cell_length_b 5.650
_cell_length_c 7.858
_cell_angle_alpha 90.00
_cell_angle_beta 90.00
_cell_angle_gamma 90.00
_symmetry_space_group_name_H-M 'P m m m'
_symmetry_Int_Tables_number 47
_symmetry_space_group_name_Hall '-P 2 2'
loop_
_atom_site_label
_atom_site_type_symbol
_atom_site_fract_x
_atom_site_fract_y
_atom_site_fract_z
Na1 Na 0.000 0.000 0.238
Sr1 Sr 0.500 0.500 0.000
Zr1 Zr 0.500 0.500 0.500
F1 F 0.000 0.244 0.000
F2 F 0.000 0.293 0.500
F3 F 0.500 0.271 0.291
```